No. 1
First-principles (PBE) data for a relaxed SnAsS3 crystal, as listed in the Alexandria database.

Cell and atoms, written as CIF:
```
data_SnAsS3
_space_group_name_H-M_alt 'C 1 2/m 1'
_space_group_IT_number 12
_space_group_name_Hall '-C 2y'
_cell_length_a 18.700
_cell_length_b 3.527
_cell_length_c 9.425
_cell_angle_alpha 90.00
_cell_angle_beta 107.25
_cell_angle_gamma 90.00
loop_
_atom_site_label
_atom_site_fract_x
_atom_site_fract_y
_atom_site_fract_z
_atom_site_occupancy
Sn1 0.048 0.000 0.406 1
As1 0.146 0.500 0.869 1
S1 0.016 0.500 0.804 1
S2 0.144 0.500 0.479 1
S3 0.162 0.000 0.040 1
```

Summary:
Calculated density, g cm⁻³: 3.2
ΔE_f (raw), eV per atom: -0.1392

=====

No. 2
First-principles (PBE) data for a relaxed GdHfOsRh crystal, as listed in the Alexandria database.

Cell and atoms, written as CIF:
```
data_GdHfOsRh
_space_group_name_H-M_alt 'F -4 3 m'
_space_group_IT_number 216
_space_group_name_Hall 'F -4 2 3'
_cell_length_a 6.696
_cell_length_b 6.696
_cell_length_c 6.696
_cell_angle_alpha 90.00
_cell_angle_beta 90.00
_cell_angle_gamma 90.00
loop_
_atom_site_label
_atom_site_fract_x
_atom_site_fract_y
_atom_site_fract_z
_atom_site_occupancy
Gd1 0.000 0.000 0.000 1
Hf1 0.000 0.000 0.500 1
Os1 0.250 0.250 0.250 1
Rh1 0.250 0.250 0.750 1
```

Summary:
Calculated density, g cm⁻³: 13.9
Formation enthalpy at 0 K, eV/atom: -0.56